RbCu3Re: relaxed, PBE-GGA.

Cell: 4.8818 4.8818 4.8818 Å, 90.00 90.00 90.00°
Sites, in units of the cell vectors:
1 Rb 0.0000 0.0000 0.0000
2 Cu 0.0000 0.5000 0.5000
3 Cu 0.5000 0.0000 0.5000
4 Cu 0.5000 0.5000 0.0000
5 Re 0.5000 0.5000 0.5000

Summary:
* E: -4.007 eV/atom
* SG: Pm-3m
* ΔH_f (0 K): 1134 meV per atom
* calculated volume: 116.34 Å³ per cell